ScSbRu after structural relaxation. Source: the Alexandria database, functional PBEsol.

```
data_ScSbRu
_symmetry_space_group_name_H-M 'I m m 2'
_symmetry_Int_Tables_number 44
_cell_length_a 3.202
_cell_length_b 3.875
_cell_length_c 8.647
_cell_angle_alpha 90.00
_cell_angle_beta 90.00
_cell_angle_gamma 90.00
loop_
_symmetry_equiv_pos_as_xyz
'x,y,z'
'-x,-y,z'
'-x,y,z'
'x,-y,z'
'x+1/2,y+1/2,z+1/2'
'-x+1/2,-y+1/2,z+1/2'
'-x+1/2,y+1/2,z+1/2'
'x+1/2,-y+1/2,z+1/2'
loop_
_atom_site_label
_atom_site_type_symbol
_atom_site_fract_x
_atom_site_fract_y
_atom_site_fract_z
Sc1 Sc 0.000 0.000 0.000
Sb1 Sb 0.000 0.000 0.322
Ru1 Ru 0.000 0.000 0.666
```

**D(E_F)**: 0.60 states/eV/atom
**E_form (uncorrected)**: -0.356 eV per atom